Below is BeTlS2N after structural relaxation, with properties calculated at the PBEsol level.

```
data_BeTlS2N
_chemical_formula_sum 'Be1 Tl1 S2 N1'
_space_group_name_H-M_alt 'P 1'
_space_group_IT_number 1
_space_group_name_Hall 'P 1'
_cell_length_a 4.822
_cell_length_b 4.822
_cell_length_c 3.250
_cell_angle_alpha 90.00
_cell_angle_beta 90.00
_cell_angle_gamma 90.00
loop_
_atom_site_label
_atom_site_type_symbol
_atom_site_fract_x
_atom_site_fract_y
_atom_site_fract_z
_atom_site_occupancy
Be1 Be 0.000 0.000 0.000 1
Tl1 Tl 0.500 0.500 0.500 1
S1 S 0.000 0.500 0.000 1
S2 S 0.500 0.000 0.000 1
N1 N 0.000 0.000 0.500 1
```

Properties
Energy relative to the elements, uncorrected ... 0.44 eV per atom
Raw total energy ... -4.3497 eV/atom

Below is YBeS2N after structural relaxation, with properties calculated at the PBEsol level.

```
data_YBeS2N
_chemical_formula_sum 'Y1 Be1 S2 N1'
_space_group_name_H-M_alt 'P 1'
_space_group_IT_number 1
_space_group_name_Hall 'P 1'
_cell_length_a 4.572
_cell_length_b 4.572
_cell_length_c 3.409
_cell_angle_alpha 90.00
_cell_angle_beta 90.00
_cell_angle_gamma 90.00
loop_
_atom_site_label
_atom_site_type_symbol
_atom_site_fract_x
_atom_site_fract_y
_atom_site_fract_z
_atom_site_occupancy
Y1 Y 0.000 0.000 0.000 1
Be1 Be 0.500 0.500 0.500 1
S1 S 0.000 0.500 0.500 1
S2 S 0.500 0.000 0.500 1
N1 N 0.500 0.500 0.000 1
```

Properties
Energy relative to the elements, uncorrected ... -0.63 eV per atom
Raw total energy ... -6.2490 eV/atom

Below is ZrBeSN2 after structural relaxation, with properties calculated at the PBEsol level.

```
data_ZrBeSN2
_chemical_formula_sum 'Zr1 Be1 S1 N2'
_space_group_name_H-M_alt 'P 1'
_space_group_IT_number 1
_space_group_name_Hall 'P 1'
_cell_length_a 3.950
_cell_length_b 3.950
_cell_length_c 5.355
_cell_angle_alpha 90.00
_cell_angle_beta 90.00
_cell_angle_gamma 90.00
loop_
_atom_site_label
_atom_site_type_symbol
_atom_site_fract_x
_atom_site_fract_y
_atom_site_fract_z
_atom_site_occupancy
Zr1 Zr 0.000 0.000 0.000 1
Be1 Be 0.500 0.500 0.500 1
S1 S 0.000 0.000 0.500 1
N1 N 0.000 0.500 0.000 1
N2 N 0.500 0.000 0.000 1
```

Properties
Energy relative to the elements, uncorrected ... 0.58 eV per atom
Raw total energy ... -6.3268 eV/atom

Below is Be2SbN after structural relaxation, with properties calculated at the PBEsol level.

```
data_Be2SbN
_chemical_formula_sum 'Be8 Sb4 N4'
_space_group_name_H-M_alt 'P 1'
_space_group_IT_number 1
_space_group_name_Hall 'P 1'
_cell_length_a 5.094
_cell_length_b 5.094
_cell_length_c 8.097
_cell_angle_alpha 90.00
_cell_angle_beta 90.00
_cell_angle_gamma 90.00
loop_
_atom_site_label
_atom_site_type_symbol
_atom_site_fract_x
_atom_site_fract_y
_atom_site_fract_z
_atom_site_occupancy
Be1 Be 0.073 0.250 0.125 1
Be2 Be 0.250 0.573 0.375 1
Be3 Be 0.250 0.927 0.875 1
Be4 Be 0.427 0.250 0.625 1
Be5 Be 0.573 0.750 0.625 1
Be6 Be 0.750 0.073 0.875 1
Be7 Be 0.750 0.427 0.375 1
Be8 Be 0.927 0.750 0.125 1
Sb1 Sb 0.000 0.000 0.500 1
Sb2 Sb 0.000 0.500 0.750 1
Sb3 Sb 0.500 0.000 0.250 1
Sb4 Sb 0.500 0.500 0.000 1
N1 N 0.000 0.000 0.000 1
N2 N 0.000 0.500 0.250 1
N3 N 0.500 0.000 0.750 1
N4 N 0.500 0.500 0.500 1
```

Properties
Energy relative to the elements, uncorrected ... -0.26 eV per atom
Raw total energy ... -5.5288 eV/atom

Below is Be3SbN after structural relaxation, with properties calculated at the PBEsol level.

```
data_Be3SbN
_chemical_formula_sum 'Be3 Sb1 N1'
_space_group_name_H-M_alt 'P 1'
_space_group_IT_number 1
_space_group_name_Hall 'P 1'
_cell_length_a 4.437
_cell_length_b 4.437
_cell_length_c 4.437
_cell_angle_alpha 90.00
_cell_angle_beta 90.00
_cell_angle_gamma 90.00
loop_
_atom_site_label
_atom_site_type_symbol
_atom_site_fract_x
_atom_site_fract_y
_atom_site_fract_z
_atom_site_occupancy
Be1 Be 0.000 0.000 0.500 1
Be2 Be 0.000 0.500 0.000 1
Be3 Be 0.500 0.000 0.000 1
Sb1 Sb 0.000 0.000 0.000 1
N1 N 0.500 0.500 0.500 1
```

Properties
Energy relative to the elements, uncorrected ... 2.09 eV per atom
Raw total energy ... -2.9259 eV/atom

Below is ScBeN3 after structural relaxation, with properties calculated at the PBEsol level.

```
data_ScBeN3
_chemical_formula_sum 'Sc1 Be1 N3'
_space_group_name_H-M_alt 'P 1'
_space_group_IT_number 1
_space_group_name_Hall 'P 1'
_cell_length_a 3.476
_cell_length_b 3.476
_cell_length_c 3.476
_cell_angle_alpha 90.00
_cell_angle_beta 90.00
_cell_angle_gamma 90.00
loop_
_atom_site_label
_atom_site_type_symbol
_atom_site_fract_x
_atom_site_fract_y
_atom_site_fract_z
_atom_site_occupancy
Sc1 Sc 0.000 0.000 0.000 1
Be1 Be 0.500 0.500 0.500 1
N1 N 0.000 0.500 0.500 1
N2 N 0.500 0.000 0.500 1
N3 N 0.500 0.500 0.000 1
```

Properties
Energy relative to the elements, uncorrected ... 0.08 eV per atom
Raw total energy ... -7.1525 eV/atom

Below is Sc2BeN after structural relaxation, with properties calculated at the PBEsol level.

```
data_Sc2BeN
_chemical_formula_sum 'Sc6 Be3 N3'
_space_group_name_H-M_alt 'P 1'
_space_group_IT_number 1
_space_group_name_Hall 'P 1'
_cell_length_a 3.618
_cell_length_b 3.618
_cell_length_c 21.873
_cell_angle_alpha 90.00
_cell_angle_beta 90.00
_cell_angle_gamma 120.00
loop_
_atom_site_label
_atom_site_type_symbol
_atom_site_fract_x
_atom_site_fract_y
_atom_site_fract_z
_atom_site_occupancy
Sc1 Sc 0.000 0.000 0.084 1
Sc2 Sc 0.000 0.000 0.916 1
Sc3 Sc 0.333 0.667 0.583 1
Sc4 Sc 0.333 0.667 0.751 1
Sc5 Sc 0.667 0.333 0.249 1
Sc6 Sc 0.667 0.333 0.417 1
Be1 Be 0.000 0.000 0.500 1
Be2 Be 0.333 0.667 0.167 1
Be3 Be 0.667 0.333 0.833 1
N1 N 0.000 0.000 0.000 1
N2 N 0.333 0.667 0.667 1
N3 N 0.667 0.333 0.333 1
```

Properties
Energy relative to the lowest polymorph listed for this composition ... 126 meV per atom
Energy relative to the elements, uncorrected ... 0.23 eV per atom
Raw total energy ... -6.2085 eV/atom

Below is ScBeN3 after structural relaxation, with properties calculated at the PBEsol level.

```
data_ScBeN3
_chemical_formula_sum 'Sc1 Be1 N3'
_space_group_name_H-M_alt 'P 1'
_space_group_IT_number 1
_space_group_name_Hall 'P 1'
_cell_length_a 4.033
_cell_length_b 4.033
_cell_length_c 4.033
_cell_angle_alpha 90.00
_cell_angle_beta 90.00
_cell_angle_gamma 90.00
loop_
_atom_site_label
_atom_site_type_symbol
_atom_site_fract_x
_atom_site_fract_y
_atom_site_fract_z
_atom_site_occupancy
Sc1 Sc 0.000 0.000 0.000 1
Be1 Be 0.500 0.500 0.500 1
N1 N 0.000 0.000 0.500 1
N2 N 0.000 0.500 0.000 1
N3 N 0.500 0.000 0.000 1
```

Properties
Energy relative to the elements, uncorrected ... 1.43 eV per atom
Raw total energy ... -5.8115 eV/atom

Below is Sc2BeN after structural relaxation, with properties calculated at the PBEsol level.

```
data_Sc2BeN
_chemical_formula_sum 'Sc8 Be4 N4'
_space_group_name_H-M_alt 'P 1'
_space_group_IT_number 1
_space_group_name_Hall 'P 1'
_cell_length_a 5.937
_cell_length_b 5.937
_cell_length_c 5.937
_cell_angle_alpha 90.00
_cell_angle_beta 90.00
_cell_angle_gamma 90.00
loop_
_atom_site_label
_atom_site_type_symbol
_atom_site_fract_x
_atom_site_fract_y
_atom_site_fract_z
_atom_site_occupancy
Sc1 Sc 0.250 0.250 0.250 1
Sc2 Sc 0.250 0.250 0.750 1
Sc3 Sc 0.250 0.750 0.250 1
Sc4 Sc 0.250 0.750 0.750 1
Sc5 Sc 0.750 0.250 0.250 1
Sc6 Sc 0.750 0.250 0.750 1
Sc7 Sc 0.750 0.750 0.250 1
Sc8 Sc 0.750 0.750 0.750 1
Be1 Be 0.000 0.000 0.000 1
Be2 Be 0.000 0.500 0.500 1
Be3 Be 0.500 0.000 0.500 1
Be4 Be 0.500 0.500 0.000 1
N1 N 0.000 0.000 0.500 1
N2 N 0.000 0.500 0.000 1
N3 N 0.500 0.000 0.000 1
N4 N 0.500 0.500 0.500 1
```

Properties
Energy relative to the lowest polymorph listed for this composition ... 0 meV per atom
Energy relative to the elements, uncorrected ... 0.10 eV per atom
Raw total energy ... -6.3341 eV/atom

Below is ScBeTe2N after structural relaxation, with properties calculated at the PBEsol level.

```
data_ScBeTe2N
_chemical_formula_sum 'Sc1 Be1 Te2 N1'
_space_group_name_H-M_alt 'P 1'
_space_group_IT_number 1
_space_group_name_Hall 'P 1'
_cell_length_a 5.413
_cell_length_b 5.413
_cell_length_c 3.123
_cell_angle_alpha 90.00
_cell_angle_beta 90.00
_cell_angle_gamma 90.00
loop_
_atom_site_label
_atom_site_type_symbol
_atom_site_fract_x
_atom_site_fract_y
_atom_site_fract_z
_atom_site_occupancy
Sc1 Sc 0.000 0.000 0.000 1
Be1 Be 0.500 0.500 0.500 1
Te1 Te 0.000 0.500 0.500 1
Te2 Te 0.500 0.000 0.500 1
N1 N 0.500 0.500 0.000 1
```

Properties
Energy relative to the elements, uncorrected ... -0.13 eV per atom
Raw total energy ... -5.3660 eV/atom

Below is BeSe2N after structural relaxation, with properties calculated at the PBEsol level.

```
data_BeSe2N
_chemical_formula_sum 'Be4 Se8 N4'
_space_group_name_H-M_alt 'P 1'
_space_group_IT_number 1
_space_group_name_Hall 'P 1'
_cell_length_a 5.933
_cell_length_b 5.933
_cell_length_c 5.933
_cell_angle_alpha 90.00
_cell_angle_beta 90.00
_cell_angle_gamma 90.00
loop_
_atom_site_label
_atom_site_type_symbol
_atom_site_fract_x
_atom_site_fract_y
_atom_site_fract_z
_atom_site_occupancy
Be1 Be 0.000 0.000 0.000 1
Be2 Be 0.000 0.500 0.500 1
Be3 Be 0.500 0.000 0.500 1
Be4 Be 0.500 0.500 0.000 1
Se1 Se 0.250 0.250 0.250 1
Se2 Se 0.250 0.250 0.750 1
Se3 Se 0.250 0.750 0.250 1
Se4 Se 0.250 0.750 0.750 1
Se5 Se 0.750 0.250 0.250 1
Se6 Se 0.750 0.250 0.750 1
Se7 Se 0.750 0.750 0.250 1
Se8 Se 0.750 0.750 0.750 1
N1 N 0.000 0.000 0.500 1
N2 N 0.000 0.500 0.000 1
N3 N 0.500 0.000 0.000 1
N4 N 0.500 0.500 0.500 1
```

Properties
Energy relative to the elements, uncorrected ... 1.26 eV per atom
Raw total energy ... -3.8000 eV/atom

Below is BeSeN2 after structural relaxation, with properties calculated at the PBEsol level.

```
data_BeSeN2
_chemical_formula_sum 'Be4 Se4 N8'
_space_group_name_H-M_alt 'P 1'
_space_group_IT_number 1
_space_group_name_Hall 'P 1'
_cell_length_a 5.265
_cell_length_b 5.265
_cell_length_c 5.265
_cell_angle_alpha 90.00
_cell_angle_beta 90.00
_cell_angle_gamma 90.00
loop_
_atom_site_label
_atom_site_type_symbol
_atom_site_fract_x
_atom_site_fract_y
_atom_site_fract_z
_atom_site_occupancy
Be1 Be 0.000 0.000 0.000 1
Be2 Be 0.000 0.500 0.500 1
Be3 Be 0.500 0.000 0.500 1
Be4 Be 0.500 0.500 0.000 1
Se1 Se 0.000 0.000 0.500 1
Se2 Se 0.000 0.500 0.000 1
Se3 Se 0.500 0.000 0.000 1
Se4 Se 0.500 0.500 0.500 1
N1 N 0.250 0.250 0.250 1
N2 N 0.250 0.250 0.750 1
N3 N 0.250 0.750 0.250 1
N4 N 0.250 0.750 0.750 1
N5 N 0.750 0.250 0.250 1
N6 N 0.750 0.250 0.750 1
N7 N 0.750 0.750 0.250 1
N8 N 0.750 0.750 0.750 1
```

Properties
Energy relative to the elements, uncorrected ... 1.47 eV per atom
Raw total energy ... -4.7564 eV/atom

Below is Be3SeN after structural relaxation, with properties calculated at the PBEsol level.

```
data_Be3SeN
_chemical_formula_sum 'Be3 Se1 N1'
_space_group_name_H-M_alt 'P 1'
_space_group_IT_number 1
_space_group_name_Hall 'P 1'
_cell_length_a 4.080
_cell_length_b 4.080
_cell_length_c 4.080
_cell_angle_alpha 90.00
_cell_angle_beta 90.00
_cell_angle_gamma 90.00
loop_
_atom_site_label
_atom_site_type_symbol
_atom_site_fract_x
_atom_site_fract_y
_atom_site_fract_z
_atom_site_occupancy
Be1 Be 0.000 0.000 0.500 1
Be2 Be 0.000 0.500 0.000 1
Be3 Be 0.500 0.000 0.000 1
Se1 Se 0.000 0.000 0.000 1
N1 N 0.500 0.500 0.500 1
```

Properties
Energy relative to the elements, uncorrected ... 1.67 eV per atom
Raw total energy ... -3.2026 eV/atom